(1)
Density functional theory data (GGA-PBE) for crystalline TiPdPt14 at its relaxed geometry.

Output
* SG: P4/mmm (123)
* formation energy: -3.87 eV per formula unit

a b c (Å): 5.640 5.640 7.819
angles (deg): 90.00 90.00 90.00
Positions (direct):
Ti 0.000 0.000 0.000
Pd 0.500 0.500 0.000
Pt 0.000 0.000 0.500
Pt 0.000 0.500 0.000
Pt 0.000 0.500 0.500
Pt 0.247 0.247 0.245
Pt 0.247 0.247 0.755
Pt 0.247 0.753 0.245
Pt 0.247 0.753 0.755
Pt 0.500 0.000 0.000
Pt 0.500 0.000 0.500
Pt 0.500 0.500 0.500
Pt 0.753 0.247 0.245
Pt 0.753 0.247 0.755
Pt 0.753 0.753 0.245
Pt 0.753 0.753 0.755


(2)
Density functional theory data (GGA-PBE) for crystalline Ti4Pd7Pt at its relaxed geometry.

Output
* SG: C2/m (12)
* formation energy: -2.46 eV per formula unit

a b c (Å): 5.780 5.780 9.206
angles (deg): 116.52 116.52 49.67
Positions (direct):
Ti 0.085 0.085 0.277
Ti 0.246 0.246 0.830
Ti 0.754 0.754 0.170
Ti 0.915 0.915 0.723
Pd 0.000 0.000 0.500
Pd 0.141 0.141 0.040
Pd 0.289 0.289 0.589
Pd 0.432 0.432 0.156
Pd 0.568 0.568 0.844
Pd 0.711 0.711 0.411
Pd 0.859 0.859 0.960
Pt 0.500 0.500 0.500


(3)
Density functional theory data (GGA-PBE) for crystalline Ti3PdPt2 at its relaxed geometry.

Output
* SG: Cmmm (65)
* polymorph energy (0 for the lowest one): 0 meV per atom
* formation energy: -4.72 eV per formula unit

a b c (Å): 6.325 6.325 3.878
angles (deg): 90.00 90.00 143.07
Positions (direct):
Ti 0.000 0.000 0.000
Ti 0.332 0.668 0.000
Ti 0.668 0.332 0.000
Pd 0.500 0.500 0.500
Pt 0.166 0.834 0.500
Pt 0.834 0.166 0.500


(4)
Density functional theory data (GGA-PBE) for crystalline Ti3Pd2Pt at its relaxed geometry.

Output
* SG: Cmcm (63)
* polymorph energy (0 for the lowest one): 250 meV per atom
* formation energy: -2.44 eV per formula unit

a b c (Å): 12.659 12.659 5.326
angles (deg): 90.00 90.00 166.84
Positions (direct):
Ti 0.079 0.921 0.000
Ti 0.079 0.921 0.500
Ti 0.243 0.757 0.750
Ti 0.757 0.243 0.250
Ti 0.921 0.079 0.000
Ti 0.921 0.079 0.500
Pd 0.347 0.653 0.250
Pd 0.498 0.502 0.750
Pd 0.502 0.498 0.250
Pd 0.653 0.347 0.750
Pt 0.172 0.828 0.250
Pt 0.828 0.172 0.750


(5)
Density functional theory data (GGA-PBE) for crystalline TiPd3Pt at its relaxed geometry.

Output
* SG: P-1 (2)
* polymorph energy (0 for the lowest one): 483 meV per atom
* formation energy: 1.19 eV per formula unit

a b c (Å): 4.830 5.165 5.250
angles (deg): 110.20 107.38 108.86
Positions (direct):
Ti 0.000 0.000 0.000
Pd 0.000 0.000 0.500
Pd 0.500 0.500 0.000
Pd 0.500 0.500 0.500
Pt 0.500 0.000 0.000


(6)
Density functional theory data (GGA-PBE) for crystalline Ti5PdPt at its relaxed geometry.

Output
* SG: C2/c (15)
* formation energy: -1.85 eV per formula unit

a b c (Å): 5.171 5.171 9.114
angles (deg): 97.79 97.79 93.47
Positions (direct):
Ti 0.000 0.403 0.832
Ti 0.000 0.597 0.168
Ti 0.131 0.869 0.750
Ti 0.240 0.495 0.494
Ti 0.403 0.000 0.332
Ti 0.495 0.240 0.994
Ti 0.505 0.760 0.006
Ti 0.597 0.000 0.668
Ti 0.760 0.505 0.506
Ti 0.869 0.131 0.250
Pd 0.491 0.509 0.250
Pd 0.509 0.491 0.750
Pt 0.000 0.000 0.000
Pt 0.000 0.000 0.500